Record 1
Computed, not measured: a relaxed structure of Y3CdN at the GGA-PBE level of DFT.

Computed properties:
**SG**: P2_1/c
**Energy**: -6.42 eV/atom
**Formation energy from raw total energies**: -0.695 eV per atom

```
20
Lattice="-8.2670 -4.8117 23.1843 -4.4377 -3.7410 -2.3588 4.9315 -0.5171 -8.4578" Properties=species:S:1:pos:R:3 pbc="T T T"
Y -1.8835 -5.3691 -3.3648
Y -5.8897 -3.7006 15.7324
Y -0.8601 -2.8765 -0.9230
Y -6.9131 -6.1932 13.2906
Y -3.5455 -3.4247 5.0686
Y -4.2277 -5.6451 7.2990
Y -4.0922 -4.2725 -0.8787
Y -3.6810 -4.7973 13.2463
Y -4.4481 -5.5834 2.5810
Y -3.3251 -3.4863 9.7866
Y 2.1211 -2.3111 -6.6473
Y -9.8943 -6.7587 19.0150
N -4.4594 -5.6559 4.9333
N -3.3138 -3.4138 7.4344
N -4.9527 -6.0538 14.8130
N -2.8205 -3.0159 -2.4453
Cd -7.0048 -5.6414 19.3182
Cd -0.7684 -3.4284 -6.9505
Cd -6.6462 -4.9674 9.2540
Cd -1.1271 -4.1024 3.1136
```



Record 2
Computed, not measured: a relaxed structure of Y3CdN at the GGA-PBE level of DFT.

Computed properties:
**SG**: P6_3/mmc
**Energy**: -5.94 eV/atom
**Formation energy from raw total energies**: -0.211 eV per atom

```
10
Lattice="4.4538 -2.5714 0.0000 0.0000 5.1428 0.0000 0.0000 0.0000 9.6943" Properties=species:S:1:pos:R:3 pbc="T T T"
Y 0.0000 0.0000 2.4236
Y 0.0000 0.0000 7.2707
Y 1.4846 2.5714 0.6638
Y 1.4846 2.5714 4.1834
Y 2.9692 0.0000 5.5109
Y 2.9692 0.0000 9.0305
N 0.0000 0.0000 0.0000
N 0.0000 0.0000 4.8471
Cd 1.4846 2.5714 7.2707
Cd 2.9692 0.0000 2.4236
```